[1]
CaSmEr2, optimized geometry, DFT PBE; calculated density = 6.39 g/cm3; DOS(E_F) = 5.86 states/eV/f.u.; calculated formation energy = 170 meV per atom; energy above the most stable polymorph in this dataset = 9.8 kJ/mol of atoms; SG = R-3m, No. 166
1.0
1.774 1.024 12.508
-1.774 1.024 12.508
0.000 -2.048 12.508
Ca Sm Er
1 1 2
direct
0.000 0.000 0.000
0.500 0.500 0.500
0.091 0.091 0.091
0.909 0.909 0.909

---

[2]
TaVIn2As, optimized geometry, DFT PBE; calculated density = 7.65 g/cm3; DOS(E_F) = 5.50 states/eV/f.u.; calculated formation energy = 1218 meV per atom; SG = P4/mmm, No. 123
1.0
5.108 0.000 0.000
0.000 5.108 0.000
0.000 0.000 4.462
Ta V In As
1 1 2 1
direct
0.000 0.000 0.000
0.500 0.500 0.000
0.000 0.500 0.500
0.500 0.000 0.500
0.500 0.500 0.500

---

[3]
RbVN2, optimized geometry, DFT PBE; calculated density = 2.98 g/cm3; DOS(E_F) = 4.34 states/eV/f.u.; energy relative to the elements, uncorrected = 1.03 eV/atom; energy above the most stable polymorph in this dataset = 171.8 kJ/mol of atoms; SG = R-3m, No. 166
1.0
1.920 1.109 7.177
-1.920 1.109 7.177
0.000 -2.217 7.177
Rb V N
1 1 2
direct
0.000 0.000 0.000
0.500 0.500 0.500
0.420 0.420 0.420
0.580 0.580 0.580

---

[4]
Cr4Os, optimized geometry, DFT PBE; calculated density = 10.86 g/cm3; DOS(E_F) = 5.78 states/eV/f.u.; calculated formation energy = 33 meV per atom; energy above the most stable polymorph in this dataset = 0.0 kJ/mol of atoms; SG = I4/m, No. 87
1.0
-3.250 3.250 1.441
3.250 -3.250 1.441
3.250 3.250 -1.441
Cr Os
4 1
direct
0.110 0.689 0.799
0.311 0.110 0.420
0.689 0.890 0.580
0.890 0.311 0.201
0.500 0.500 0.000

---

[5]
Li2DyGaSn2, optimized geometry, DFT PBE; calculated density = 5.85 g/cm3; DOS(E_F) = 0.78 states/eV/f.u.; calculated formation energy = -445 meV per atom; SG = Pmc2_1, No. 26
1.0
4.417 0.000 0.000
0.000 8.552 0.000
0.000 0.000 7.265
Li Dy Ga Sn
4 2 2 4
direct
0.000 0.082 0.000
0.000 0.918 0.500
0.500 0.154 0.322
0.500 0.846 0.822
0.500 0.456 0.976
0.500 0.544 0.476
0.000 0.339 0.657
0.000 0.661 0.157
0.000 0.341 0.258
0.000 0.659 0.758
0.500 0.157 0.720
0.500 0.843 0.220

---

[6]
CaPuSe2, optimized geometry, DFT PBE; calculated density = 6.94 g/cm3; DOS(E_F) = 8.86 states/eV/f.u.; energy relative to the elements, uncorrected = -1.63 eV/atom; energy above the most stable polymorph in this dataset = 12.0 kJ/mol of atoms; SG = R3m, No. 160
1.0
2.049 1.183 7.274
-2.049 1.183 7.274
0.000 -2.366 7.274
Ca Pu Se
1 1 2
direct
0.000 0.000 0.000
0.829 0.829 0.829
0.246 0.246 0.246
0.415 0.415 0.415